Compound: KRb2Sn2Se4
Source: the Alexandria database
Functional: PBE
Structure: optimized geometry

Lattice parameters (Å, degrees): 17.047 5.420 7.563 90.00 104.12 90.00
Space group C2/m (No. 12)
Inequivalent atoms, fractional coordinates:
1 K 0.000 0.000 0.000
2 Rb 0.135 0.000 0.573
3 Sn 0.172 0.500 0.026
4 Se 0.047 0.500 0.751
5 Se 0.202 0.000 0.152

Summary:
DOS(E_F) ... 1.79 states/eV/f.u.
Magnetic moment ... 0.0 μB per formula unit
Calculated volume ... 338.9 Å³/f.u.
Total DFT energy (no corrections) ... -3.59 eV/atom